# Ac2Pm2Ir2Pt | Alexandria | PBE | optimized geometry
# Energy of formation: -722.6 meV/atom
# E_tot: -93.1 eV/cell
data_Ac2Pm2Ir2Pt
_chemical_formula_sum 'Ac4 Pm4 Ir4 Pt2'
_space_group_name_H-M_alt 'C 1 2/m 1'
_space_group_IT_number 12
_cell_length_a 14.176
_cell_length_b 4.098
_cell_length_c 8.331
_cell_angle_alpha 90.00
_cell_angle_beta 119.07
_cell_angle_gamma 90.00
loop_
_space_group_symop_operation_xyz
'x,y,z'
'-x,-y,-z'
'-x,y,-z'
'x,-y,z'
'x+1/2,y+1/2,z'
'-x+1/2,-y+1/2,-z'
'-x+1/2,y+1/2,-z'
'x+1/2,-y+1/2,z'
loop_
_atom_site_label
_atom_site_fract_x
_atom_site_fract_y
_atom_site_fract_z
_atom_site_occupancy
Ac1 0.034 0.000 0.256 1
Pm1 0.221 0.500 0.807 1
Ir1 0.116 0.500 0.040 1
Pt1 0.000 0.500 0.500 1

---

# Ac8Pm2Sm | Alexandria | PBE | optimized geometry
# Energy of formation: 35.7 meV/atom
# E_tot: -93.4 eV/cell
data_Ac8Pm2Sm
_chemical_formula_sum 'Ac16 Pm4 Sm2'
_space_group_name_H-M_alt 'C 1 2/m 1'
_space_group_IT_number 12
_cell_length_a 19.755
_cell_length_b 5.563
_cell_length_c 8.717
_cell_angle_alpha 90.00
_cell_angle_beta 105.50
_cell_angle_gamma 90.00
loop_
_space_group_symop_operation_xyz
'x,y,z'
'-x,-y,-z'
'-x,y,-z'
'x,-y,z'
'x+1/2,y+1/2,z'
'-x+1/2,-y+1/2,-z'
'-x+1/2,y+1/2,-z'
'x+1/2,-y+1/2,z'
loop_
_atom_site_label
_atom_site_fract_x
_atom_site_fract_y
_atom_site_fract_z
_atom_site_occupancy
Ac1 0.047 0.000 0.230 1
Ac2 0.094 0.500 0.953 1
Ac3 0.138 0.000 0.689 1
Ac4 0.182 0.500 0.415 1
Pm1 0.226 0.000 0.133 1
Sm1 0.000 0.500 0.500 1

---

# Hf2TiV2 | Alexandria | PBE | optimized geometry
# E above lowest polymorph: 295 meV per atom
# Energy of formation: 508.6 meV/atom
# E_tot: -87.0 eV/cell
data_Hf2TiV2
_chemical_formula_sum 'Hf4 Ti2 V4'
_space_group_name_H-M_alt 'I 4/m m m'
_space_group_IT_number 139
_space_group_name_Hall '-I 4 2'
_cell_length_a 3.648
_cell_length_b 3.648
_cell_length_c 14.244
_cell_angle_alpha 90.00
_cell_angle_beta 90.00
_cell_angle_gamma 90.00
loop_
_atom_site_label
_atom_site_fract_x
_atom_site_fract_y
_atom_site_fract_z
_atom_site_occupancy
Hf1 0.000 0.000 0.103 1
Ti1 0.000 0.000 0.500 1
V1 0.000 0.500 0.250 1

---

# LaPIr2 | Alexandria | PBE | optimized geometry
# Energy of formation: -517.2 meV/atom
# E_tot: -120.5 eV/cell
data_LaPIr2
_chemical_formula_sum 'La4 P4 Ir8'
_space_group_name_H-M_alt 'I -4 2 d'
_space_group_IT_number 122
_space_group_name_Hall 'I -4 2bw'
_cell_length_a 7.243
_cell_length_b 7.243
_cell_length_c 6.281
_cell_angle_alpha 90.00
_cell_angle_beta 90.00
_cell_angle_gamma 90.00
loop_
_atom_site_label
_atom_site_fract_x
_atom_site_fract_y
_atom_site_fract_z
_atom_site_occupancy
La1 0.000 0.000 0.000 1
P1 0.000 0.000 0.500 1
Ir1 0.147 0.250 0.625 1

---

# LaTlBr4 | Alexandria | PBE | optimized geometry
# E above lowest polymorph: 0 meV per atom
# Formation energy (no corrections): -1.613 eV/atom
# E_tot: -94.7 eV/cell
data_LaTlBr4
_chemical_formula_sum 'La4 Tl4 Br16'
_space_group_name_H-M_alt 'C 1 2/c 1'
_space_group_IT_number 15
_cell_length_a 8.734
_cell_length_b 18.778
_cell_length_c 7.608
_cell_angle_alpha 90.00
_cell_angle_beta 116.15
_cell_angle_gamma 90.00
loop_
_space_group_symop_operation_xyz
'x,y,z'
'-x,-y,-z'
'-x,y,-z+1/2'
'x,-y,z+1/2'
'x+1/2,y+1/2,z'
'-x+1/2,-y+1/2,-z'
'-x+1/2,y+1/2,-z+1/2'
'x+1/2,-y+1/2,z+1/2'
loop_
_atom_site_label
_atom_site_fract_x
_atom_site_fract_y
_atom_site_fract_z
_atom_site_occupancy
La1 0.000 0.068 0.250 1
Tl1 0.000 0.312 0.250 1
Br1 0.205 0.049 0.680 1
Br2 0.238 0.177 0.262 1

---

# InGaPt6 | Alexandria | PBE | optimized geometry
# Energy of formation: -410.6 meV/atom
# E_tot: -45.3 eV/cell
data_InGaPt6
_chemical_formula_sum 'In1 Ga1 Pt6'
_space_group_name_H-M_alt 'P 4/m m m'
_space_group_IT_number 123
_space_group_name_Hall '-P 4 2'
_cell_length_a 4.002
_cell_length_b 4.002
_cell_length_c 7.982
_cell_angle_alpha 90.00
_cell_angle_beta 90.00
_cell_angle_gamma 90.00
loop_
_atom_site_label
_atom_site_fract_x
_atom_site_fract_y
_atom_site_fract_z
_atom_site_occupancy
In1 0.000 0.000 0.000 1
Ga1 0.000 0.000 0.500 1
Pt1 0.000 0.500 0.260 1
Pt2 0.500 0.500 0.000 1
Pt3 0.500 0.500 0.500 1